{"formula": "CaOsNF2", "functional": "PBE", "state": "relaxed", "cell": [[4.3936, 0.0000, 0.0000], [0.0000, 4.3936, 0.0000], [0.0000, 0.0000, 3.8019]], "species": ["Ca", "N", "Os", "F", "F"], "frac_coords": [[0.5000, 0.5000, 0.5000], [0.0000, 0.0000, 0.5000], [0.0000, 0.0000, 0.0000], [0.0000, 0.5000, 0.0000], [0.5000, 0.0000, 0.0000]], "final_energy_ry_per_atom": -0.44709, "dos_at_fermi_per_ev_cell": 1.7}